Entry from Alexandria: a relaxed structure of Co2AsP (PBE).

Lattice parameters (Å, degrees): 3.2071 3.2069 4.7609 90.00 90.00 90.00
Closest atoms and distances in Å follow each position.
Atoms (fractional coordinates):
As (0.5000, 0.5000, 0.8036)  6 Co 2.37-2.39
Co (0.0000, 0.0000, 0.9602)  1 P 2.24, 4 As 2.39
Co (0.5000, 0.5000, 0.3050)  4 P 2.35, 2 As 2.37-2.39
P (0.0000, 0.0000, 0.4311)  5 Co 2.24-2.35

## Properties
For the uncorrected energy, the calculation gives -6.313 eV/atom. The value obtained for the calculated density is 7.588 g cm⁻³. For the magnetization, the calculation gives 0.00 μB/f.u. The formation energy comes out at -246 meV per atom. The value obtained for the offset from the most stable computed form is 0 meV/atom. Its density of states at the Fermi level is 0.16 states/eV per atom.


Entry from Alexandria: a relaxed structure of Co2AsP (PBE).

Lattice parameters (Å, degrees): 5.0650 5.0650 6.2823 66.23 66.23 90.00
Closest atoms and distances in Å follow each position.
Atoms (fractional coordinates):
P (0.5000, 0.5000, 0.0000)  4 Co 2.14
P (0.2500, 0.7500, 0.5000)  4 Co 2.14
As (0.0000, 0.0000, 0.0000)  4 Co 2.28
As (0.7500, 0.2500, 0.5000)  4 Co 2.28
Co (0.6006, 0.1250, 0.2500)  2 P 2.14, 2 As 2.28
Co (0.1494, 0.6250, 0.2500)  2 P 2.14, 2 As 2.28
Co (0.3750, 0.3994, 0.7500)  2 P 2.14, 2 As 2.28
Co (0.8750, 0.8506, 0.7500)  2 P 2.14, 2 As 2.28

## Properties
For the uncorrected energy, the calculation gives -6.114 eV/atom. The value obtained for the calculated density is 5.612 g cm⁻³. For the magnetization, the calculation gives 0.00 μB/f.u. The formation energy comes out at -46 meV per atom. The value obtained for the offset from the most stable computed form is 200 meV/atom. Its density of states at the Fermi level is 0.72 states/eV per atom.


Entry from Alexandria: a relaxed structure of CoAs2P (PBE).

Lattice parameters (Å, degrees): 3.9565 3.9565 5.6524 79.25 79.25 51.41
Closest atoms and distances in Å follow each position.
Atoms (fractional coordinates):
As (0.0369, 0.0369, 0.0554)  1 P 2.26
As (0.7604, 0.7604, 0.6749)  2 P 2.59, 3 Co 2.61-2.63
Co (0.4967, 0.4967, 0.4167)  3 P 2.18-2.25
P (0.2060, 0.2060, 0.3530)  3 Co 2.18-2.25, 1 As 2.26

## Properties
For the uncorrected energy, the calculation gives -5.424 eV/atom. The value obtained for the calculated density is 5.883 g cm⁻³. For the magnetization, the calculation gives 0.00 μB/f.u. The formation energy comes out at 30 meV per atom. Its density of states at the Fermi level is 0.45 states/eV per atom.


Entry from Alexandria: a relaxed structure of CoAsP3 (PBE).

Lattice parameters (Å, degrees): 4.3702 4.3702 4.3702 90.00 90.00 90.00
Closest atoms and distances in Å follow each position.
Atoms (fractional coordinates):
P (0.0000, 0.5000, 0.0000)  2 Co 2.19
P (0.0000, 0.0000, 0.5000)  2 Co 2.19
P (0.5000, 0.0000, 0.0000)  2 Co 2.19
As (0.5000, 0.5000, 0.5000)  12 P 3.09
Co (0.0000, 0.0000, 0.0000)  6 P 2.19

## Properties
For the uncorrected energy, the calculation gives -4.995 eV/atom. The value obtained for the calculated density is 4.512 g cm⁻³. For the magnetization, the calculation gives 0.54 μB/f.u. The formation energy comes out at 602 meV per atom. The value obtained for the offset from the most stable computed form is 0 meV/atom. Its density of states at the Fermi level is 1.14 states/eV per atom.


Entry from Alexandria: a relaxed structure of Co2AsP (PBE).

Lattice parameters (Å, degrees): 6.1313 6.1313 6.1313 149.28 153.89 40.74
Closest atoms and distances in Å follow each position.
Atoms (fractional coordinates):
As (0.2942, 0.7942, 0.5000)  6 Co 2.51-2.55, 2 As 2.77
Co (0.9803, 0.9803, 0.0000)  4 P 2.26
Co (0.6794, 0.1794, 0.5000)  2 P 2.23
P (0.5461, 0.5461, 0.0000)  6 Co 2.23-2.26

## Properties
For the uncorrected energy, the calculation gives -6.265 eV/atom. The value obtained for the calculated density is 7.187 g cm⁻³. For the magnetization, the calculation gives 0.00 μB/f.u. The formation energy comes out at -198 meV per atom. The value obtained for the offset from the most stable computed form is 48 meV/atom. Its density of states at the Fermi level is 1.02 states/eV per atom.


Entry from Alexandria: a relaxed structure of Co4AsP (PBE).

Lattice parameters (Å, degrees): 4.7585 4.7585 4.7585 60.00 60.00 60.00
Closest atoms and distances in Å follow each position.
Atoms (fractional coordinates):
Co (0.8745, 0.3752, 0.3752)  6 Co 2.38
Co (0.3752, 0.3752, 0.8745)  6 Co 2.38
Co (0.3752, 0.8745, 0.3752)  6 Co 2.38
Co (0.3752, 0.3752, 0.3752)  6 Co 2.38
As (0.0000, 0.0000, 0.0000)  12 Co 2.79, 4 P 2.91
P (0.7500, 0.7500, 0.7500)  12 Co 2.79, 4 As 2.91

## Properties
For the uncorrected energy, the calculation gives -6.028 eV/atom. The value obtained for the calculated density is 7.446 g cm⁻³. For the magnetization, the calculation gives 6.35 μB/f.u. The formation energy comes out at 386 meV per atom. Its density of states at the Fermi level is 1.35 states/eV per atom.


Entry from Alexandria: a relaxed structure of CoAs2P (PBE).

Lattice parameters (Å, degrees): 5.9078 5.9078 5.9078 152.00 137.63 51.56
Closest atoms and distances in Å follow each position.
Atoms (fractional coordinates):
As (0.9935, 0.9935, 0.0000)  4 Co 2.58, 4 As 2.85-2.86, 2 P 2.88
As (0.3156, 0.8156, 0.5000)  2 Co 2.56, 4 As 2.85-2.86
Co (0.5150, 0.5150, 0.0000)  2 P 2.23
P (0.6758, 0.1758, 0.5000)  2 Co 2.23

## Properties
For the uncorrected energy, the calculation gives -5.249 eV/atom. The value obtained for the calculated density is 6.131 g cm⁻³. For the magnetization, the calculation gives 0.00 μB/f.u. The formation energy comes out at 205 meV per atom. Its density of states at the Fermi level is 0.78 states/eV per atom.


Entry from Alexandria: a relaxed structure of CoAsP (PBE).

Lattice parameters (Å, degrees): 3.0787 5.9984 9.8607 90.00 90.00 90.00
Closest atoms and distances in Å follow each position.
Atoms (fractional coordinates):
P (0.7500, 0.1720, 0.0350)  3 Co 2.21-2.23, 1 As 2.39
P (0.2500, 0.6720, 0.4650)  3 Co 2.21-2.23, 1 As 2.39
P (0.2500, 0.8280, 0.9650)  3 Co 2.21-2.23, 1 As 2.39
P (0.7500, 0.3280, 0.5350)  3 Co 2.21-2.23, 1 As 2.39
As (0.7500, 0.4588, 0.2037)  3 Co 2.36-2.40, 1 P 2.39
As (0.2500, 0.9588, 0.2963)  3 Co 2.36-2.40, 1 P 2.39
As (0.2500, 0.5412, 0.7963)  3 Co 2.36-2.40, 1 P 2.39
As (0.7500, 0.0412, 0.7037)  3 Co 2.36-2.40, 1 P 2.39
Co (0.7500, 0.8317, 0.1260)  3 P 2.21-2.23, 3 As 2.36-2.40
Co (0.2500, 0.3317, 0.3740)  3 P 2.21-2.23, 3 As 2.36-2.40
Co (0.2500, 0.1683, 0.8740)  3 P 2.21-2.23, 3 As 2.36-2.40
Co (0.7500, 0.6683, 0.6260)  3 P 2.21-2.23, 3 As 2.36-2.40

## Properties
For the uncorrected energy, the calculation gives -6.028 eV/atom. The value obtained for the calculated density is 6.012 g cm⁻³. For the magnetization, the calculation gives 0.00 μB/f.u. The formation energy comes out at -307 meV per atom. The value obtained for the offset from the most stable computed form is 136 meV/atom. Its density of states at the Fermi level is 0.42 states/eV per atom.


Question: Look up the calculated density of the third one.
Answer: 5.883 g cm⁻³